(1)
# PBE-GGA Tl2GaSbS5, relaxed
# Magnetic moment (μB/f.u.): 0.0
# Crystal system: orthorhombic
# Energy relative to the elements, uncorrected (eV/atom): -0.3266
# DFT total energy (eV for the cell shown): -141.83
data_Tl2GaSbS5
_symmetry_space_group_name_H-M 'C m c 21'
_symmetry_Int_Tables_number 36
_cell_length_a 3.788
_cell_length_b 18.399
_cell_length_c 12.743
_cell_angle_alpha 90.00
_cell_angle_beta 90.00
_cell_angle_gamma 90.00
loop_
_symmetry_equiv_pos_as_xyz
'x,y,z'
'-x,-y,z+1/2'
'-x,y,z'
'x,-y,z+1/2'
'x+1/2,y+1/2,z'
'-x+1/2,-y+1/2,z+1/2'
'-x+1/2,y+1/2,z'
'x+1/2,-y+1/2,z+1/2'
loop_
_atom_site_label
_atom_site_type_symbol
_atom_site_fract_x
_atom_site_fract_y
_atom_site_fract_z
Tl1 Tl 0.000 0.111 0.000
Tl2 Tl 0.000 0.129 0.644
Ga1 Ga 0.000 0.452 0.765
Sb1 Sb 0.000 0.203 0.357
S1 S 0.000 0.041 0.371
S2 S 0.000 0.297 0.005
S3 S 0.000 0.328 0.714
S4 S 0.000 0.336 0.310
S5 S 0.000 0.484 0.116



(2)
# PBE-GGA TlGaSbS4, relaxed
# Magnetic moment (μB/f.u.): 0.0
# Crystal system: monoclinic
# Energy relative to the elements, uncorrected (eV/atom): -0.3019
# DFT total energy (eV for the cell shown): -56.28
data_TlGaSbS4
_symmetry_space_group_name_H-M 'P 1 21/m 1'
_symmetry_Int_Tables_number 11
_cell_length_a 6.419
_cell_length_b 6.805
_cell_length_c 8.881
_cell_angle_alpha 90.00
_cell_angle_beta 109.77
_cell_angle_gamma 90.00
loop_
_symmetry_equiv_pos_as_xyz
'x,y,z'
'-x,-y,-z'
'-x,y+1/2,-z'
'x,-y+1/2,z'
loop_
_atom_site_label
_atom_site_type_symbol
_atom_site_fract_x
_atom_site_fract_y
_atom_site_fract_z
Tl1 Tl 0.224 0.250 0.437
Ga1 Ga 0.261 0.750 0.169
Sb1 Sb 0.294 0.250 0.958
S1 S 0.008 0.750 0.918
S2 S 0.038 0.750 0.318
S3 S 0.488 0.504 0.794